(1)
First-principles (PBE) data for CdMoIr after structural relaxation, as listed in the Alexandria database.

Formation energy from the elements = 0.031 eV per atom
E above lowest polymorph = 0.000 eV per formula unit
Calculated total energy = -6.838 eV/atom
N(E_F) = 1.86 states/eV/f.u.

Lattice parameters (Å, degrees): 6.4333 6.4333 6.4333 154.17 154.17 36.85
Last column: nearest neighbours and their distance in Å.
Fractional coordinates of all 3 atoms:
Cd 0.0000 0.0000 0.0000  4 Cd 2.88, 4 Ir 2.97, 4 Mo 3.05
Mo 0.3143 0.3143 0.0000  4 Ir 2.63, 4 Mo 2.88
Ir 0.6770 0.6770 0.0000  4 Mo 2.63, 4 Ir 2.88

***

(2)
First-principles (PBE) data for CdMoIr2 after structural relaxation, as listed in the Alexandria database.

Formation energy from the elements = 0.199 eV per atom
Calculated total energy = -7.168 eV/atom
N(E_F) = 2.92 states/eV/f.u.

Lattice parameters (Å, degrees): 5.0344 5.0344 5.0344 134.62 134.62 66.12
Last column: nearest neighbours and their distance in Å.
Fractional coordinates of all 4 atoms:
Cd 0.0000 0.0000 0.0000  8 Ir 2.75-2.87, 4 Mo 2.87
Mo 0.7500 0.2500 0.5000  8 Ir 2.75-2.87, 4 Cd 2.87
Ir 0.2500 0.7500 0.5000  4 Mo 2.75, 4 Ir 2.87, 4 Cd 2.87
Ir 0.5000 0.5000 0.0000  4 Cd 2.75, 4 Mo 2.87, 4 Ir 2.87

***

(3)
First-principles (PBE) data for CdMoIr2 after structural relaxation, as listed in the Alexandria database.

Formation energy from the elements = -0.040 eV per atom
Calculated total energy = -7.408 eV/atom
N(E_F) = 4.09 states/eV/f.u.

Lattice parameters (Å, degrees): 9.3809 9.3809 9.3809 17.39 17.39 17.39
Last column: nearest neighbours and their distance in Å.
Fractional coordinates of all 4 atoms:
Cd 0.0000 0.0000 0.0000  6 Cd 2.84, 6 Ir 2.98
Mo 0.5000 0.5000 0.5000  6 Ir 2.69, 6 Mo 2.84
Ir 0.2436 0.2436 0.2436  3 Mo 2.69, 6 Ir 2.84, 3 Cd 2.98
Ir 0.7564 0.7564 0.7564  3 Mo 2.69, 6 Ir 2.84, 3 Cd 2.98

***

(4)
First-principles (PBE) data for CdMo2Ir after structural relaxation, as listed in the Alexandria database.

Formation energy from the elements = 0.345 eV per atom
Calculated total energy = -7.515 eV/atom
N(E_F) = 3.71 states/eV/f.u.

Lattice parameters (Å, degrees): 4.5277 4.5277 4.5277 60.00 60.00 60.00
Last column: nearest neighbours and their distance in Å.
Fractional coordinates of all 4 atoms:
Cd 0.0000 0.0000 0.0000  4 Mo 2.77, 4 Ir 2.77
Mo 0.5000 0.5000 0.5000  4 Mo 2.77, 4 Ir 2.77
Mo 0.7500 0.7500 0.7500  4 Cd 2.77, 4 Mo 2.77
Ir 0.2500 0.2500 0.2500  4 Cd 2.77, 4 Mo 2.77